Entry 1:
Material: KZrTc2
Method: DFT, GGA-PBE
State: optimized geometry

POSCAR file:
```
KZrTc2
1.0
-0.544 -3.624 2.160
2.810 -1.021 -1.006
6.028 2.173 5.167
K Tc Zr
1 2 1
direct
0.500 0.750 0.750
0.000 0.889 0.105
0.000 0.611 0.395
0.500 0.250 0.250
```

Summary:
Energy relative to the lowest polymorph listed for this composition, eV/atom: 0.110
Magnetic moment, μB per atom: 0.000
Calculated density, Mg/m³: 5.272
Energy relative to the elements, eV per atom: 0.598

***

Entry 2:
Material: K2ZrTc
Method: DFT, GGA-PBE
State: optimized geometry

POSCAR file:
```
K2ZrTc
1.0
2.858 0.000 0.000
0.000 2.858 0.000
0.000 0.000 12.722
Tc K Zr
1 2 1
direct
0.500 0.500 0.250
0.000 0.000 0.469
0.000 0.000 0.031
0.500 0.500 0.750
```

Summary:
Energy relative to the lowest polymorph listed for this composition, eV/atom: 0.761
Magnetic moment, μB per atom: 0.000
Calculated density, Mg/m³: 4.273
Energy relative to the elements, eV per atom: 1.270